[1]
First-principles (PBE-GGA) data for a relaxed structure of ZrPaPN2, as listed in Alexandria via LeMat-Bulk.

Geometry as POSCAR:
```
ZrPaPN2
1.0
3.9437 0.0000 0.0000
0.0000 6.2636 -0.4827
0.0000 -1.9046 7.1374
P N Pa Zr
2 4 2 2
direct
0.7500 0.9555 0.2485 P
0.2500 0.0445 0.7515 P
0.2500 0.4932 0.6221 N
0.7500 0.5212 0.8828 N
0.7500 0.5068 0.3779 N
0.2500 0.4788 0.1172 N
0.2500 0.6959 0.9302 Pa
0.7500 0.3041 0.0698 Pa
0.7500 0.3225 0.5744 Zr
0.2500 0.6775 0.4256 Zr
```

raw formation energy	-1.44	eV/atom

---

[2]
First-principles (PBE-GGA) data for a relaxed structure of Li2CuRh, as listed in Alexandria via LeMat-Bulk.

Geometry as POSCAR:
```
Li2CuRh
1.0
0.0000 2.9112 2.9112
2.9112 0.0000 2.9112
2.9112 2.9112 0.0000
Li Cu Rh
2 1 1
direct
0.2500 0.2500 0.2500 Li
0.7500 0.7500 0.7500 Li
0.0000 0.0000 0.0000 Cu
0.5000 0.5000 0.5000 Rh
```

polymorph energy (0 for the lowest one)	9.4	kJ per mole of atoms

---

[3]
First-principles (PBE-GGA) data for a relaxed structure of Dy6Y5Th, as listed in Alexandria via LeMat-Bulk.

Geometry as POSCAR:
```
Dy6Y5Th
1.0
-11.3344 -2.7779 -1.8346
0.6787 -5.3438 -3.0071
0.2315 -5.3000 3.1424
Y Dy Th
5 6 1
direct
0.5000 0.8327 0.3346 Y
0.0000 0.3333 0.3334 Y
0.5000 0.5000 0.0000 Y
0.5000 0.1673 0.6654 Y
0.0000 0.6667 0.6666 Y
0.2492 0.2459 0.0000 Dy
0.2494 0.5871 0.3295 Dy
0.7508 0.7541 0.0000 Dy
0.7506 0.4129 0.6705 Dy
0.2494 0.9166 0.6705 Dy
0.7506 0.0834 0.3295 Dy
0.0000 0.0000 0.0000 Th
```

DFT total energy	-5.59	eV/atom

---

[4]
First-principles (PBE-GGA) data for a relaxed structure of HoGa5Ni2Ru, as listed in Alexandria via LeMat-Bulk.

Geometry as POSCAR:
```
HoGa5Ni2Ru
1.0
-3.3417 -1.2596 2.9015
-2.8092 -0.7580 -3.5646
2.2121 -6.6347 -0.3324
Ga Ho Ru Ni
5 1 1 2
direct
0.0000 0.5000 0.8030 Ga
0.5000 0.5000 0.5000 Ga
0.5000 0.0000 0.8030 Ga
0.0000 0.5000 0.1970 Ga
0.5000 0.0000 0.1970 Ga
0.0000 0.0000 0.5000 Ho
0.0000 0.0000 0.0000 Ru
0.5000 0.5000 0.8288 Ni
0.5000 0.5000 0.1712 Ni
```

DFT total energy	-4.72	eV/atom

---

[5]
First-principles (PBE-GGA) data for a relaxed structure of BaHg6Pd4, as listed in Alexandria via LeMat-Bulk.

Geometry as POSCAR:
```
BaHg6Pd4
1.0
7.2494 -0.1762 -0.2591
-3.5080 6.3466 0.2591
-3.5080 -2.0924 5.9973
Pd Hg Ba
4 6 1
direct
0.0000 0.2637 0.5869 Pd
0.6768 0.4131 0.4131 Pd
0.0000 0.5869 0.2637 Pd
0.3232 0.7363 0.7363 Pd
0.5000 0.0000 0.5000 Hg
0.0000 0.5200 0.8950 Hg
0.6250 0.1050 0.1050 Hg
0.3750 0.4800 0.4800 Hg
0.0000 0.8950 0.5200 Hg
0.5000 0.5000 0.0000 Hg
0.0000 0.0000 0.0000 Ba
```

DFT total energy	-2.51	eV/atom

---

[6]
First-principles (PBE-GGA) data for a relaxed structure of LaH3Pt, as listed in Alexandria via LeMat-Bulk.

Geometry as POSCAR:
```
LaH3Pt
1.0
-1.2520 -0.0318 9.7799
-4.1246 -4.6455 3.1062
1.0647 -5.8848 -3.5322
H Pt La
12 4 4
direct
0.5073 0.2093 0.2621 H
0.2310 0.1737 0.0315 H
0.4927 0.7907 0.7379 H
0.4192 0.7195 0.3594 H
0.2690 0.5315 0.6737 H
0.9927 0.7621 0.7093 H
0.0808 0.8594 0.2195 H
0.5808 0.2805 0.6406 H
0.7310 0.4685 0.3263 H
0.0073 0.2379 0.2907 H
0.9192 0.1406 0.7805 H
0.7690 0.8263 0.9685 H
0.7500 0.0964 0.5964 Pt
0.7500 0.6582 0.1582 Pt
0.2500 0.3418 0.8418 Pt
0.2500 0.9036 0.4036 Pt
0.2579 0.3570 0.3900 La
0.2421 0.8900 0.8570 La
0.7421 0.6430 0.6100 La
0.7579 0.1100 0.1430 La
```

DFT total energy	-4.73	eV/atom

---

[7]
First-principles (PBE-GGA) data for a relaxed structure of DyTmCo2, as listed in Alexandria via LeMat-Bulk.

Geometry as POSCAR:
```
DyTmCo2
1.0
4.6824 0.0000 0.0000
2.3412 4.0551 0.0000
2.3412 1.3517 3.8231
Tm Dy Co
1 1 2
direct
0.5000 0.5000 0.5000 Tm
0.0000 0.0000 0.0000 Dy
0.7500 0.7500 0.7500 Co
0.2500 0.2500 0.2500 Co
```

polymorph energy (0 for the lowest one)	4.7	kJ per mole of atoms

---

[8]
First-principles (PBE-GGA) data for a relaxed structure of LiSeN, as listed in Alexandria via LeMat-Bulk.

Geometry as POSCAR:
```
LiSeN
1.0
4.6123 0.0000 0.0000
-2.3061 3.6441 0.6228
0.0000 -0.8778 8.8275
N Li Se
2 2 2
direct
0.5577 0.1154 0.4561 N
0.4423 0.8846 0.5439 N
0.2901 0.5803 0.8829 Li
0.7099 0.4197 0.1171 Li
0.9439 0.8879 0.8743 Se
0.0561 0.1121 0.1257 Se
```

polymorph energy (0 for the lowest one)	0.0	kJ per mole of atoms
raw formation energy	-0.56	eV/atom

---

Calculated values (μB per formula unit) of magnetic moment for the records, taken in order: 0.0 0.0 0.0 0.0 0.0 0.0 0.7 0.0.
Calculated values (Å³ per cell) of calculated volume for the records, taken in order: 173 49 383 148 269 243 73 151.